# K2CaMo GGA-PBE relaxed
# - polymorph energy (0 for the lowest one) (kJ/mol of atoms) = 17.7
data_K2CaMo
_cell_length_a 5.000
_cell_length_b 5.000
_cell_length_c 12.762
_cell_angle_alpha 90.00
_cell_angle_beta 90.00
_cell_angle_gamma 90.00
_symmetry_space_group_name_H-M 'I 4/m m m'
_symmetry_Int_Tables_number 139
_symmetry_space_group_name_Hall '-I 4 2'
loop_
_atom_site_label
_atom_site_fract_x
_atom_site_fract_y
_atom_site_fract_z
_atom_site_occupancy
K1 0.000 0.500 0.250 1
Ca1 0.000 0.000 0.000 1
Mo1 0.000 0.000 0.500 1

***

# Ac6CuNi2 GGA-PBE relaxed
# - calculated total energy (eV per atom) = -4.5848
data_Ac6CuNi2
_cell_length_a 10.063
_cell_length_b 10.623
_cell_length_c 10.869
_cell_angle_alpha 90.00
_cell_angle_beta 90.00
_cell_angle_gamma 90.00
_symmetry_space_group_name_H-M 'I m m m'
_symmetry_Int_Tables_number 71
_symmetry_space_group_name_Hall '-I 2 2'
loop_
_atom_site_label
_atom_site_fract_x
_atom_site_fract_y
_atom_site_fract_z
_atom_site_occupancy
Ac1 0.000 0.186 0.227 1
Ac2 0.187 0.500 0.171 1
Ac3 0.208 0.325 0.500 1
Cu1 0.000 0.000 0.000 1
Cu2 0.000 0.000 0.500 1
Ni1 0.000 0.349 0.000 1
Ni2 0.000 0.500 0.379 1

***

# ReRh2Se GGA-PBE relaxed
# - formation energy without anion corrections (eV per atom) = 0.2609
data_ReRh2Se
_cell_length_a 9.196
_cell_length_b 2.931
_cell_length_c 4.510
_cell_angle_alpha 90.00
_cell_angle_beta 92.98
_cell_angle_gamma 90.00
_symmetry_space_group_name_H-M 'C 1 2/m 1'
_symmetry_Int_Tables_number 12
loop_
_symmetry_equiv_pos_as_xyz
'x,y,z'
'-x,-y,-z'
'-x,y,-z'
'x,-y,z'
'x+1/2,y+1/2,z'
'-x+1/2,-y+1/2,-z'
'-x+1/2,y+1/2,-z'
'x+1/2,-y+1/2,z'
loop_
_atom_site_label
_atom_site_fract_x
_atom_site_fract_y
_atom_site_fract_z
_atom_site_occupancy
Re1 0.000 0.000 0.000 1
Rh1 0.230 0.500 0.238 1
Se1 0.000 0.500 0.500 1

***

# CoTcBr2 GGA-PBE relaxed
# - polymorph energy (0 for the lowest one) (kJ/mol of atoms) = 23.5
# - formation energy without anion corrections (eV per atom) = 0.4001
data_CoTcBr2
_cell_length_a 3.072
_cell_length_b 3.072
_cell_length_c 8.352
_cell_angle_alpha 90.00
_cell_angle_beta 90.00
_cell_angle_gamma 90.00
_symmetry_space_group_name_H-M 'P 4 m m'
_symmetry_Int_Tables_number 99
loop_
_symmetry_equiv_pos_as_xyz
'x,y,z'
'-y,x,z'
'-x,-y,z'
'y,-x,z'
'-x,y,z'
'y,x,z'
'x,-y,z'
'-y,-x,z'
loop_
_atom_site_label
_atom_site_fract_x
_atom_site_fract_y
_atom_site_fract_z
_atom_site_occupancy
Co1 0.000 0.000 0.000 1
Tc1 0.500 0.500 0.165 1
Br1 0.000 0.000 0.372 1
Br2 0.500 0.500 0.815 1

***

# AcEr12In3 GGA-PBE relaxed
# - calculated total energy (eV per atom) = -4.3499
data_AcEr12In3
_cell_length_a 4.852
_cell_length_b 4.852
_cell_length_c 19.815
_cell_angle_alpha 90.00
_cell_angle_beta 90.00
_cell_angle_gamma 90.00
_symmetry_space_group_name_H-M 'P 4/m m m'
_symmetry_Int_Tables_number 123
_symmetry_space_group_name_Hall '-P 4 2'
loop_
_atom_site_label
_atom_site_fract_x
_atom_site_fract_y
_atom_site_fract_z
_atom_site_occupancy
Ac1 0.000 0.000 0.000 1
Er1 0.000 0.500 0.137 1
Er2 0.000 0.500 0.379 1
Er3 0.500 0.500 0.000 1
Er4 0.500 0.500 0.260 1
Er5 0.500 0.500 0.500 1
In1 0.000 0.000 0.259 1
In2 0.000 0.000 0.500 1

***

# In2S2F GGA-PBE relaxed
# - polymorph energy (0 for the lowest one) (kJ/mol of atoms) = 1.9
# - formation energy without anion corrections (eV per atom) = -0.7922
data_In2S2F
_cell_length_a 7.193
_cell_length_b 7.193
_cell_length_c 3.638
_cell_angle_alpha 90.00
_cell_angle_beta 90.00
_cell_angle_gamma 90.00
_symmetry_space_group_name_H-M 'P 4/m b m'
_symmetry_Int_Tables_number 127
_symmetry_space_group_name_Hall '-P 4 2ab'
loop_
_atom_site_label
_atom_site_fract_x
_atom_site_fract_y
_atom_site_fract_z
_atom_site_occupancy
In1 0.171 0.329 0.000 1
S1 0.149 0.649 0.500 1
F1 0.000 0.000 0.000 1